# 1
## Y2HoPbC (PBE)

Data for an optimized crystal structure of Y2HoPbC.

Cell: 4.926 4.926 4.898 Å, 90.00 90.00 90.00°
Element x y z (fractional)
Y1 0.000 0.500 0.000
Y2 0.500 0.000 0.000
Ho1 0.000 0.000 0.500
Pb1 0.500 0.500 0.500
C1 0.000 0.000 0.000

Calculated values
- Symmetry: P4/mmm
- ρ: 7.8 g cm⁻³
- Formation energy: -564.6 meV per atom
- V: 23.776 Å³/atom
- Magnetic moment: 0.00 μB/f.u.

# 2
## Pm6As2S3I (PBE)

Data for an optimized crystal structure of Pm6As2S3I.

Cell: 9.339 9.339 8.421 Å, 102.78 102.78 25.72°
Element x y z (fractional)
Pm1 0.000 0.000 0.212
Pm2 0.000 0.000 0.788
Pm3 0.318 0.318 0.410
Pm4 0.334 0.334 0.915
Pm5 0.666 0.666 0.085
Pm6 0.682 0.682 0.590
As1 0.166 0.166 0.830
As2 0.834 0.834 0.170
S1 0.161 0.161 0.332
S2 0.500 0.500 0.000
S3 0.839 0.839 0.668
I1 0.500 0.500 0.500

Calculated values
- Symmetry: C2/m
- ρ: 6.6 g cm⁻³
- V: 25.872 Å³/atom
- Formation energy from raw total energies: -161 kJ per mole of atoms
- Magnetic moment: 0.00 μB/f.u.

# 3
## Mg4SnHPb (PBE)

Data for an optimized crystal structure of Mg4SnHPb.

Cell: 8.056 8.056 6.269 Å, 90.00 90.00 133.46°
Element x y z (fractional)
Mg1 0.000 0.500 0.000
Mg2 0.000 0.500 0.500
Mg3 0.085 0.915 0.750
Mg4 0.407 0.593 0.750
Mg5 0.500 0.000 0.000
Mg6 0.500 0.000 0.500
Mg7 0.593 0.407 0.250
Mg8 0.915 0.085 0.250
Sn1 0.113 0.887 0.250
Sn2 0.887 0.113 0.750
H1 0.253 0.747 0.750
H2 0.747 0.253 0.250
Pb1 0.393 0.607 0.250
Pb2 0.607 0.393 0.750

Calculated values
- Symmetry: Cmcm
- ρ: 4.8 g cm⁻³
- V: 21.093 Å³/atom
- Magnetic moment: 0.00 μB/f.u.
- Final energy: -2.573 eV/atom

# 4
## Sm2AgS (PBE)

Data for an optimized crystal structure of Sm2AgS.

Cell: 12.033 12.033 4.148 Å, 90.00 90.00 160.67°
Element x y z (fractional)
Sm1 0.076 0.924 0.750
Sm2 0.310 0.690 0.750
Sm3 0.690 0.310 0.250
Sm4 0.924 0.076 0.250
Ag1 0.458 0.542 0.750
Ag2 0.542 0.458 0.250
S1 0.193 0.807 0.750
S2 0.807 0.193 0.250

Calculated values
- Symmetry: Cmcm
- ρ: 7.4 g cm⁻³
- V: 24.853 Å³/atom
- Energy above the most stable polymorph in this dataset: 0 meV/atom
- Formation energy from raw total energies: -109 kJ per mole of atoms
- Magnetic moment: 0.00 μB/f.u.